[1]
FeH3 | Alexandria | PBE-GGA | relaxed; magnetic moment = 0.19 μB/atom; E_tot = -4.38 eV per atom
1.0
2.6143 0.0000 0.0000
0.0000 2.6143 0.0000
0.0000 0.0000 2.6143
H Fe
3 1
direct
0.5000 0.5000 0.0000 H
0.5000 0.0000 0.5000 H
0.0000 0.5000 0.5000 H
0.0000 0.0000 0.0000 Fe

[2]
Fe2H3 | Alexandria | PBE-GGA | relaxed; E above lowest polymorph = 0.36 eV per formula unit; magnetic moment = 0.91 μB/atom; E_tot = -5.26 eV per atom
1.0
-1.2649 -3.9244 1.8460
2.2238 -1.6346 3.5764
-1.9139 -0.1037 3.9958
Fe H
4 6
direct
0.1291 0.1291 0.6127 Fe
0.8709 0.8709 0.3873 Fe
0.6291 0.6291 0.1127 Fe
0.3709 0.3709 0.8873 Fe
0.4766 0.0234 0.7500 H
0.7500 0.4766 0.7500 H
0.2500 0.5234 0.2500 H
0.9766 0.2500 0.2500 H
0.0234 0.7500 0.7500 H
0.5234 0.9766 0.2500 H

[3]
Hf3FeH4 | Alexandria | PBE-GGA | relaxed; magnetic moment = 0.00 μB/atom; E_tot = -6.66 eV per atom
1.0
-3.1878 0.6373 4.1142
1.0659 -5.3282 1.6512
4.4797 1.8815 3.1796
Hf H Fe
6 8 2
direct
0.9881 0.1199 0.5000 Hf
0.9995 0.6364 0.2489 Hf
0.9995 0.6364 0.7511 Hf
0.4881 0.8801 0.0000 Hf
0.4995 0.3636 0.7489 Hf
0.4995 0.3636 0.2511 Hf
0.6838 0.1828 0.0000 H
0.0960 0.8819 0.0000 H
0.1228 0.2965 0.7765 H
0.1228 0.2965 0.2235 H
0.6228 0.7035 0.2765 H
0.6228 0.7035 0.7235 H
0.5960 0.1181 0.5000 H
0.1838 0.8172 0.5000 H
0.0026 0.1587 0.0000 Fe
0.5026 0.8413 0.5000 Fe